# 1
A plane-wave DFT calculation with GGA-PBE was carried out for crystalline NaPrPtO4 at its relaxed geometry.

```
NaPrPtO4
1.0
-3.798 -5.311 0.106
4.330 0.816 -5.088
2.123 -1.380 6.917
O Pr Pt Na
8 2 2 2
Direct
0.761 0.522 0.332 O
0.239 0.478 0.668 O
0.749 0.048 0.274 O
0.761 0.522 0.690 O
0.251 0.952 0.726 O
0.239 0.478 0.310 O
0.701 0.952 0.726 O
0.299 0.048 0.274 O
0.500 0.000 0.500 Pr
0.500 0.000 0.000 Pr
0.500 0.500 0.500 Pt
0.000 0.500 0.500 Pt
0.108 0.215 0.858 Na
0.892 0.785 0.142 Na
```

Results
E ... -6.26 eV/atom
Density ... 6.361 g/cm³

# 2
A plane-wave DFT calculation with GGA-PBE was carried out for crystalline LiZrAsSe2 at its relaxed geometry.

```
LiZrAsSe2
1.0
-1.686 4.211 1.109
-4.183 -1.897 0.841
1.164 -0.664 4.292
Zr Li Se As
1 1 2 1
Direct
0.500 0.500 0.500 Zr
0.000 0.000 0.000 Li
0.500 0.000 0.000 Se
0.000 0.500 0.000 Se
0.000 0.000 0.500 As
```

Results
E ... -4.43 eV/atom
Density ... 5.606 g/cm³
Fermi-level density of states ... 5.04 states/eV/f.u.
Polymorph energy (0 for the lowest one) ... 466 meV/atom

# 3
A plane-wave DFT calculation with GGA-PBE was carried out for crystalline Mn2Ni9H at its relaxed geometry.

```
Mn2Ni9H
1.0
-1.528 -3.091 -0.875
2.831 -1.754 1.251
-4.355 -0.457 9.217
Ni Mn H
9 2 1
Direct
0.000 0.500 0.150 Ni
0.500 0.000 0.850 Ni
0.500 0.500 0.326 Ni
0.500 0.500 0.000 Ni
0.500 0.500 0.674 Ni
0.500 0.000 0.500 Ni
0.000 0.500 0.500 Ni
0.500 0.000 0.150 Ni
0.000 0.500 0.850 Ni
0.000 0.000 0.677 Mn
0.000 0.000 0.323 Mn
0.000 0.000 0.000 H
```

Results
E ... -6.05 eV/atom
Density ... 8.217 g/cm³
Fermi-level density of states ... 14.62 states/eV/f.u.

# 4
A plane-wave DFT calculation with GGA-PBE was carried out for crystalline CeMnCo4 at its relaxed geometry.

```
CeMnCo4
1.0
-0.528 -4.382 2.176
2.030 -4.006 -2.010
3.859 -2.153 2.165
Ce Co Mn
1 4 1
Direct
0.250 0.250 0.250 Ce
0.626 0.626 0.122 Co
0.626 0.626 0.626 Co
0.122 0.626 0.626 Co
0.626 0.122 0.626 Co
0.000 0.000 0.000 Mn
```

Results
E ... -7.32 eV/atom
Calculated formation energy ... -0.07 eV per atom
Density ... 8.490 g/cm³
Fermi-level density of states ... 8.51 states/eV/f.u.

# 5
A plane-wave DFT calculation with GGA-PBE was carried out for crystalline PrSm5DyTm2 at its relaxed geometry.

```
PrSm5DyTm2
1.0
5.632 0.000 0.000
-2.816 10.087 0.000
0.000 0.000 10.725
Tm Sm Dy Pr
4 10 2 2
Direct
0.884 0.768 0.819 Tm
0.109 0.218 0.739 Tm
0.891 0.782 0.239 Tm
0.116 0.232 0.319 Tm
0.282 0.564 0.307 Sm
0.718 0.436 0.807 Sm
0.478 0.957 0.741 Sm
0.522 0.043 0.241 Sm
0.298 0.596 0.704 Sm
0.702 0.404 0.204 Sm
0.017 0.034 0.025 Sm
0.607 0.213 0.526 Sm
0.983 0.966 0.525 Sm
0.393 0.787 0.026 Sm
0.587 0.175 0.955 Dy
0.413 0.825 0.455 Dy
0.798 0.595 0.509 Pr
0.202 0.405 0.009 Pr
```

Results
E ... -4.51 eV/atom
Calculated formation energy ... 0.15 eV per atom
Density ... 7.592 g/cm³
Fermi-level density of states ... 13.95 states/eV/f.u.

# 6
A plane-wave DFT calculation with GGA-PBE was carried out for crystalline LiCe3Dy2Te6 at its relaxed geometry.

```
LiCe3Dy2Te6
1.0
4.395 0.000 0.000
0.000 8.857 0.275
-2.198 -2.588 9.290
Ce Te Dy Li
3 6 2 1
Direct
0.168 0.835 0.335 Ce
0.500 0.500 0.000 Ce
0.832 0.165 0.665 Ce
0.998 0.763 0.995 Te
0.339 0.910 0.679 Te
0.002 0.237 0.005 Te
0.661 0.090 0.321 Te
0.331 0.420 0.662 Te
0.669 0.580 0.338 Te
0.833 0.663 0.666 Dy
0.167 0.337 0.334 Dy
0.500 0.000 0.000 Li
```

Results
E ... -5.30 eV/atom
Density ... 6.909 g/cm³
Fermi-level density of states ... 22.58 states/eV/f.u.

# 7
A plane-wave DFT calculation with GGA-PBE was carried out for crystalline CsK2Cd9 at its relaxed geometry.

```
CsK2Cd9
1.0
6.119 0.000 1.821
2.789 5.447 1.821
0.080 0.049 10.923
Cd K Cs
9 2 1
Direct
0.500 0.500 0.500 Cd
0.666 0.666 0.003 Cd
0.586 0.586 0.750 Cd
0.921 0.414 0.250 Cd
0.414 0.921 0.250 Cd
0.334 0.334 0.997 Cd
0.079 0.586 0.750 Cd
0.586 0.079 0.750 Cd
0.414 0.414 0.250 Cd
0.855 0.855 0.434 K
0.145 0.145 0.566 K
0.000 0.000 0.000 Cs
```

Results
E ... -1.01 eV/atom
Calculated formation energy ... -0.07 eV per atom
Density ... 5.593 g/cm³
Fermi-level density of states ... 5.94 states/eV/f.u.

# 8
A plane-wave DFT calculation with GGA-PBE was carried out for crystalline NdY2Mg at its relaxed geometry.

```
NdY2Mg
1.0
3.568 0.003 0.001
1.787 3.088 0.001
1.789 1.033 11.371
Nd Mg Y
1 1 2
Direct
0.667 0.667 0.999 Nd
0.500 0.500 0.500 Mg
0.247 0.247 0.260 Y
0.087 0.087 0.741 Y
```

Results
E ... -4.78 eV/atom
Calculated formation energy ... 0.04 eV per atom
Density ... 4.593 g/cm³
Fermi-level density of states ... 6.32 states/eV/f.u.
Polymorph energy (0 for the lowest one) ... 81 meV/atom

# 9
A plane-wave DFT calculation with GGA-PBE was carried out for crystalline Tl3HgPd at its relaxed geometry.

```
Tl3HgPd
1.0
-0.022 -2.914 -4.526
4.617 -2.338 1.483
-2.768 -3.876 2.509
Tl Pd Hg
3 1 1
Direct
0.500 0.000 0.000 Tl
0.000 0.000 0.500 Tl
0.000 0.500 0.000 Tl
0.000 0.000 0.000 Pd
0.500 0.500 0.500 Hg
```

Results
E ... -2.54 eV/atom
Calculated formation energy ... -0.02 eV per atom
Density ... 9.796 g/cm³
Fermi-level density of states ... 2.67 states/eV/f.u.
Polymorph energy (0 for the lowest one) ... 43 meV/atom

# 10
A plane-wave DFT calculation with GGA-PBE was carried out for crystalline Ca2AcCuF8 at its relaxed geometry.

```
Ca2AcCuF8
1.0
-3.368 -0.332 -2.132
2.096 -4.947 -1.701
-3.690 -3.791 6.440
F Ac Cu Ca
8 1 1 2
Direct
0.971 0.269 0.734 F
0.029 0.735 0.736 F
0.490 0.735 0.502 F
0.971 0.265 0.264 F
0.369 0.260 0.999 F
0.510 0.265 0.498 F
0.631 0.740 0.001 F
0.029 0.731 0.266 F
0.000 0.000 0.500 Ac
0.000 0.000 0.000 Cu
0.500 0.501 0.775 Ca
0.500 0.499 0.225 Ca
```

Results
E ... -5.70 eV/atom
Density ... 4.635 g/cm³

# 11
A plane-wave DFT calculation with GGA-PBE was carried out for crystalline Sr2Tl3Pb2 at its relaxed geometry.

```
Sr2Tl3Pb2
1.0
-0.396 0.190 4.529
-4.692 3.336 -2.836
0.626 -11.245 0.525
Tl Sr Pb
3 2 2
Direct
0.000 0.000 0.500 Tl
0.332 0.664 0.867 Tl
0.668 0.336 0.133 Tl
0.432 0.865 0.226 Sr
0.568 0.135 0.774 Sr
0.778 0.556 0.626 Pb
0.222 0.444 0.374 Pb
```

Results
E ... -2.79 eV/atom
Calculated formation energy ... -0.23 eV per atom
Density ... 8.268 g/cm³
Fermi-level density of states ... 5.13 states/eV/f.u.
Polymorph energy (0 for the lowest one) ... 0 meV/atom

# 12
A plane-wave DFT calculation with GGA-PBE was carried out for crystalline KHoPbF6 at its relaxed geometry.

```
KHoPbF6
1.0
6.384 0.001 0.000
3.193 5.529 0.000
0.000 0.000 5.170
F Ho K Pb
6 1 1 1
Direct
0.348 0.618 0.279 F
0.619 0.348 0.721 F
0.618 0.033 0.279 F
0.033 0.348 0.279 F
0.034 0.619 0.721 F
0.348 0.034 0.721 F
0.333 0.333 0.500 Ho
0.000 0.000 0.000 K
0.667 0.667 0.501 Pb
```

Results
E ... -5.52 eV/atom
Density ... 4.780 g/cm³
Fermi-level density of states ... 0.00 states/eV/f.u.

# 13
A plane-wave DFT calculation with GGA-PBE was carried out for crystalline Ca2Tl4Cd3 at its relaxed geometry.

```
Ca2Tl4Cd3
1.0
6.428 0.000 0.000
0.000 9.388 0.000
-3.214 0.000 8.490
Cd Tl Ca
6 8 4
Direct
0.019 0.750 0.537 Cd
0.519 0.750 0.537 Cd
0.981 0.250 0.463 Cd
0.000 0.000 0.000 Cd
0.500 0.500 0.000 Cd
0.481 0.250 0.463 Cd
0.199 0.750 0.897 Tl
0.301 0.250 0.103 Tl
0.320 0.480 0.640 Tl
0.699 0.750 0.897 Tl
0.801 0.250 0.103 Tl
0.180 0.980 0.360 Tl
0.820 0.020 0.640 Tl
0.680 0.520 0.360 Tl
0.391 0.076 0.781 Ca
0.609 0.924 0.219 Ca
0.891 0.424 0.781 Ca
0.109 0.576 0.219 Ca
```

Results
E ... -1.95 eV/atom
Calculated formation energy ... -0.15 eV per atom
Density ... 8.006 g/cm³
Fermi-level density of states ... 5.34 states/eV/f.u.

# 14
A plane-wave DFT calculation with GGA-PBE was carried out for crystalline SrCaHgOs2 at its relaxed geometry.

```
SrCaHgOs2
1.0
-1.687 -0.959 -4.767
5.077 -1.014 -1.593
-0.610 -4.964 1.215
Os Ca Hg Sr
2 1 1 1
Direct
0.500 0.000 0.000 Os
0.000 0.000 0.500 Os
0.500 0.500 0.500 Ca
0.000 0.000 0.000 Hg
0.000 0.500 0.000 Sr
```

Results
E ... -3.72 eV/atom
Calculated formation energy ... 1.57 eV per atom
Density ... 8.204 g/cm³
Fermi-level density of states ... 6.05 states/eV/f.u.

# 15
A plane-wave DFT calculation with GGA-PBE was carried out for crystalline Be3As5 at its relaxed geometry.

```
Be3As5
1.0
-0.309 -2.561 -10.658
5.922 0.026 -4.680
-2.493 -6.983 -5.130
As Be
10 6
Direct
0.741 0.767 0.760 As
0.812 0.978 0.055 As
0.446 0.344 0.687 As
0.874 0.135 0.776 As
0.721 0.289 0.630 As
0.126 0.865 0.225 As
0.554 0.656 0.313 As
0.279 0.712 0.371 As
0.259 0.233 0.241 As
0.188 0.022 0.946 As
0.858 0.412 0.643 Be
0.388 0.111 0.889 Be
0.249 0.750 0.750 Be
0.612 0.889 0.112 Be
0.142 0.588 0.358 Be
0.751 0.250 0.251 Be
```

Results
E ... -4.13 eV/atom
Calculated formation energy ... 0.18 eV per atom
Density ... 3.894 g/cm³
Fermi-level density of states ... 1.74 states/eV/f.u.
Polymorph energy (0 for the lowest one) ... 0 meV/atom

# 16
A plane-wave DFT calculation with GGA-PBE was carried out for crystalline Ti5ReTc6 at its relaxed geometry.

```
Ti5ReTc6
1.0
-3.265 1.544 -2.494
-1.980 -5.786 -0.989
-2.224 -0.361 6.565
Ti Tc Re
5 6 1
Direct
0.667 0.500 0.333 Ti
0.333 0.500 0.667 Ti
0.333 0.000 0.665 Ti
0.000 0.500 0.000 Ti
0.667 0.000 0.335 Ti
0.835 0.249 0.670 Tc
0.500 0.752 0.000 Tc
0.835 0.751 0.670 Tc
0.500 0.248 0.000 Tc
0.165 0.751 0.330 Tc
0.165 0.249 0.330 Tc
0.000 0.000 0.000 Re
```

Results
E ... -9.99 eV/atom
Calculated formation energy ... -0.48 eV per atom
Density ... 9.403 g/cm³
Fermi-level density of states ... 8.82 states/eV/f.u.

# 17
A plane-wave DFT calculation with GGA-PBE was carried out for crystalline BaNi2SeI at its relaxed geometry.

```
BaNi2SeI
1.0
4.581 0.000 0.000
0.000 7.179 0.000
0.000 0.000 4.581
Ni Ba Se I
2 1 1 1
Direct
0.500 0.000 0.000 Ni
0.000 0.000 0.500 Ni
0.500 0.500 0.500 Ba
0.000 0.000 0.000 Se
0.000 0.500 0.000 I
```

Results
E ... -3.92 eV/atom
Density ... 5.076 g/cm³
Fermi-level density of states ... 6.05 states/eV/f.u.
Polymorph energy (0 for the lowest one) ... 0 meV/atom

# 18
A plane-wave DFT calculation with GGA-PBE was carried out for crystalline FeSb at its relaxed geometry.

```
FeSb
1.0
4.355 0.000 0.000
-2.178 3.772 0.000
0.000 0.000 5.094
Sb Fe
2 2
Direct
0.333 0.667 0.062 Sb
0.667 0.333 0.562 Sb
0.333 0.667 0.562 Fe
0.667 0.333 0.062 Fe
```

Results
E ... -5.69 eV/atom
Density ... 7.049 g/cm³
Fermi-level density of states ... 3.02 states/eV/f.u.

# 19
A plane-wave DFT calculation with GGA-PBE was carried out for crystalline PrTm5Pb6 at its relaxed geometry.

```
PrTm5Pb6
1.0
4.870 -0.002 -1.513
-0.969 8.210 -3.129
0.067 -1.335 8.962
Pr Tm Pb
1 5 6
Direct
0.000 0.000 0.000 Pr
0.669 0.669 0.339 Tm
0.331 0.331 0.661 Tm
0.000 0.500 0.000 Tm
0.667 0.168 0.335 Tm
0.333 0.832 0.665 Tm
0.169 0.423 0.338 Pb
0.500 0.258 0.000 Pb
0.831 0.577 0.662 Pb
0.500 0.742 0.000 Pb
0.169 0.915 0.338 Pb
0.831 0.085 0.662 Pb
```

Results
E ... -4.51 eV/atom
Calculated formation energy ... -0.39 eV per atom
Density ... 10.986 g/cm³
Fermi-level density of states ... 10.64 states/eV/f.u.
Polymorph energy (0 for the lowest one) ... 7 meV/atom

# 20
A plane-wave DFT calculation with GGA-PBE was carried out for crystalline Sm5Pu2O12 at its relaxed geometry.

```
Sm5Pu2O12
1.0
6.327 0.000 0.000
-3.163 6.130 -1.923
0.000 -0.007 7.660
Sm O Pu
5 12 2
Direct
0.703 0.405 0.366 Sm
0.694 0.387 0.822 Sm
0.306 0.613 0.178 Sm
0.000 0.000 0.500 Sm
0.297 0.595 0.634 Sm
0.096 0.690 0.427 O
0.901 0.341 0.089 O
0.561 0.659 0.911 O
0.498 0.996 0.196 O
0.594 0.690 0.427 O
0.904 0.310 0.573 O
0.406 0.310 0.573 O
0.001 0.002 0.803 O
0.999 0.998 0.197 O
0.502 0.004 0.804 O
0.099 0.659 0.911 O
0.439 0.341 0.089 O
0.754 0.000 0.000 Pu
0.246 0.000 0.000 Pu
```

Results
E ... -9.11 eV/atom
Density ... 8.004 g/cm³
Fermi-level density of states ... 10.50 states/eV/f.u.